# 1
Entry from Alexandria: crystalline SmScBeIn at its relaxed geometry (PBE).

```
SmScBeIn
1.0
-1.7850 -0.7773 -4.6347
2.9580 -2.0209 -3.5266
-0.8515 -4.6845 -1.6127
In Be Sc Sm
1 1 1 1
direct
0.0000 0.0000 0.0000
0.5000 0.5000 0.5000
0.2500 0.2500 0.2500
0.7500 0.7500 0.7500
```

Results
For the energy of formation from the pure elements, the calculation gives -0.104 eV per atom. Its space group is F-43m (216).



# 2
Entry from Alexandria: crystalline TmScBeIn at its relaxed geometry (PBE).

```
TmScBeIn
1.0
4.9263 0.0000 0.0000
2.4632 4.2663 0.0000
2.4632 1.4221 4.0223
Sc In Be Tm
1 1 1 1
direct
0.7500 0.7500 0.7500
0.0000 0.0000 0.0000
0.5000 0.5000 0.5000
0.2500 0.2500 0.2500
```

Results
For the energy of formation from the pure elements, the calculation gives -0.129 eV per atom. Its space group is F-43m (216).



# 3
Entry from Alexandria: crystalline YScBeIn at its relaxed geometry (PBE).

```
YScBeIn
1.0
4.9699 0.0000 0.0000
2.4849 4.3041 0.0000
2.4849 1.4347 4.0579
Y Sc In Be
1 1 1 1
direct
0.5000 0.5000 0.5000
0.0000 0.0000 0.0000
0.7500 0.7500 0.7500
0.2500 0.2500 0.2500
```

Results
For the energy of formation from the pure elements, the calculation gives -0.140 eV per atom. Its space group is F-43m (216).



# 4
Entry from Alexandria: crystalline ScBeZnIn2 at its relaxed geometry (PBE).

```
ScBeZnIn2
1.0
4.9538 0.0000 0.0000
0.0000 5.1244 0.0000
0.0000 0.0000 4.9538
Zn Be In Sc
1 1 2 1
direct
0.0000 0.0000 0.0000
0.5000 0.5000 0.5000
0.5000 0.0000 0.0000
0.0000 0.0000 0.5000
0.0000 0.5000 0.0000
```

Results
For the energy of formation from the pure elements, the calculation gives 0.687 eV per atom. Its space group is P4/mmm (123).



# 5
Entry from Alexandria: crystalline ScBeZn2In at its relaxed geometry (PBE).

```
ScBeZn2In
1.0
5.5157 0.0000 0.0000
0.0000 5.5157 0.0000
0.0000 0.0000 6.0504
Be Zn In Sc
1 2 1 1
direct
0.5000 0.5000 0.5000
0.0000 0.5000 0.0000
0.5000 0.0000 0.0000
0.0000 0.0000 0.5000
0.0000 0.0000 0.0000
```

Results
For the energy of formation from the pure elements, the calculation gives 1.246 eV per atom. Its space group is P4/mmm (123).



# 6
Entry from Alexandria: crystalline BeIn2Se at its relaxed geometry (PBE).

```
BeIn2Se
1.0
-2.9824 -1.8174 -0.6036
1.4969 -1.3849 -3.2263
3.3398 -6.1040 1.8769
Se Be In
1 1 2
direct
0.0000 0.6471 0.5750
0.5000 0.5640 0.7548
0.5000 0.3192 0.2367
0.0000 0.9697 0.9335
```

Results
The energy above the most stable polymorph in this dataset comes out at 0.143 eV/atom. Its space group is Pm (6). As for the formation energy from raw total energies: -0.014 eV/atom.



# 7
Entry from Alexandria: crystalline BeIn2Se at its relaxed geometry (PBE).

```
BeIn2Se
1.0
4.9525 -0.0402 0.0000
-1.1350 4.8209 0.0000
0.0000 0.0000 3.6786
In Se Be
2 1 1
direct
0.5000 0.5000 0.0000
0.0000 0.0000 0.0000
0.5000 0.0000 0.5000
0.0000 0.5000 0.5000
```

Results
The energy above the most stable polymorph in this dataset comes out at 0.505 eV/atom. Its space group is Cmmm (65). As for the formation energy from raw total energies: 0.348 eV/atom.



# 8
Entry from Alexandria: crystalline BeInSe2 at its relaxed geometry (PBE).

```
BeInSe2
1.0
3.3438 0.0000 0.0000
0.0000 4.3969 0.0000
0.0000 0.0000 5.6733
Se In Be
2 1 1
direct
0.0000 0.0000 0.0000
0.5000 0.5000 0.0000
0.0000 0.5000 0.5000
0.5000 0.0000 0.5000
```

Results
The energy above the most stable polymorph in this dataset comes out at 0.934 eV/atom. Its space group is Pmmm (47). As for the formation energy from raw total energies: 0.488 eV/atom.



Calculated density
In order: 5.90 6.63 4.93 4.61 2.70 5.62 6.02 5.61
Unit: g cm⁻³
Energy
In order: -17.93 -17.78 -19.82 -13.38 -9.11 -12.74 -11.30 -11.48
Unit: eV per cell